No. 1
ScBe4Ir (PBE, relaxed); mass density = 7.03 g/cm3; energy of formation = -347 kJ/mol of formula units; space group = No. 216; total moment = 0.000 μB/f.u.
1.0
0.0000 3.1834 3.1834
3.1834 0.0000 3.1834
3.1834 3.1834 0.0000
Sc Be Ir
1 4 1
Direct
0.0000 0.0000 0.0000
0.3765 0.3765 0.3765
0.3765 0.3765 0.8706
0.3765 0.8706 0.3765
0.8706 0.3765 0.3765
0.7500 0.7500 0.7500


No. 2
ScBe2Ir (PBE, relaxed); mass density = 7.94 g/cm3; energy of formation = -97 kJ/mol of formula units; Fermi-level density of states = 1.89 states/eV/f.u.; space group = No. 119; total moment = 0.000 μB/f.u.
1.0
-1.8774 1.8774 3.7863
1.8774 -1.8774 3.7863
1.8774 1.8774 -3.7863
Sc Be Ir
1 2 1
Direct
0.0000 0.0000 0.0000
0.2500 0.7500 0.5000
0.5000 0.5000 0.0000
0.7500 0.2500 0.5000


No. 3
ScBeIr4 (PBE, relaxed); mass density = 14.02 g/cm3; energy of formation = -66 kJ/mol of formula units; Fermi-level density of states = 6.22 states/eV/f.u.; space group = No. 216; total moment = 0.000 μB/f.u.
1.0
0.0000 3.6529 3.6529
3.6529 0.0000 3.6529
3.6529 3.6529 0.0000
Sc Be Ir
1 1 4
Direct
0.0000 0.0000 0.0000
0.2500 0.2500 0.2500
0.1261 0.6246 0.6246
0.6246 0.1261 0.6246
0.6246 0.6246 0.1261
0.6246 0.6246 0.6246


No. 4
Sc4BeIr3 (PBE, relaxed); mass density = 9.56 g/cm3; energy of formation = -611 kJ/mol of formula units; Fermi-level density of states = 3.77 states/eV/f.u.; space group = No. 123; total moment = 0.000 μB/f.u.
1.0
3.1892 0.0000 0.0000
0.0000 3.1892 0.0000
0.0000 0.0000 13.0671
Sc Be Ir
4 1 3
Direct
0.0000 0.0000 0.1198
0.0000 0.0000 0.3729
0.0000 0.0000 0.6271
0.0000 0.0000 0.8802
0.5000 0.5000 0.0000
0.5000 0.5000 0.2451
0.5000 0.5000 0.5000
0.5000 0.5000 0.7549


No. 5
Sc2BeIr (PBE, relaxed); mass density = 6.80 g/cm3; energy of formation = -216 kJ/mol of formula units; Fermi-level density of states = 2.65 states/eV/f.u.; space group = No. 38; total moment = 0.000 μB/f.u.
1.0
3.8810 0.0000 0.0000
0.0000 1.8428 4.9680
0.0000 -1.8428 4.9680
Sc Be Ir
2 1 1
Direct
0.0000 0.0000 0.0000
0.5000 0.2863 0.2863
0.5000 0.5827 0.5827
0.0000 0.7076 0.7076


No. 6
Sc2BeIr (PBE, relaxed); mass density = 7.05 g/cm3; energy of formation = -160 kJ/mol of formula units; Fermi-level density of states = 5.26 states/eV/f.u.; space group = No. 99; total moment = 0.000 μB/f.u.
1.0
3.0393 0.0000 0.0000
0.0000 3.0393 0.0000
0.0000 0.0000 7.4230
Sc Be Ir
2 1 1
Direct
0.0000 0.0000 0.0000
0.5000 0.5000 0.3701
0.0000 0.0000 0.6164
0.5000 0.5000 0.7541


No. 7
ScBe2Ir (PBE, relaxed); mass density = 8.09 g/cm3; energy of formation = -161 kJ/mol of formula units; Fermi-level density of states = 2.27 states/eV/f.u.; space group = No. 123; total moment = 0.088 μB/f.u.
1.0
2.9241 0.0000 0.0000
0.0000 2.9241 0.0000
0.0000 0.0000 6.1254
Sc Be Ir
1 2 1
Direct
0.0000 0.0000 0.0000
0.5000 0.5000 0.3105
0.5000 0.5000 0.6895
0.0000 0.0000 0.5000


No. 8
Sc2Be3Ir (PBE, relaxed); mass density = 6.27 g/cm3; energy of formation = -267 kJ/mol of formula units; Fermi-level density of states = 4.01 states/eV/f.u.; space group = No. 166; total moment = 0.000 μB/f.u.
1.0
2.4389 1.4081 3.9704
-2.4389 1.4081 3.9704
0.0000 -2.8162 3.9704
Sc Be Ir
2 3 1
Direct
0.1253 0.1253 0.1253
0.8747 0.8747 0.8747
0.0000 0.5000 0.5000
0.5000 0.0000 0.5000
0.5000 0.5000 0.0000
0.5000 0.5000 0.5000


No. 9
ScBe17Ir (PBE, relaxed); mass density = 3.85 g/cm3; energy of formation = -320 kJ/mol of formula units; Fermi-level density of states = 4.69 states/eV/f.u.; space group = No. 160; total moment = 0.000 μB/f.u.
1.0
3.6907 2.1308 3.5727
-3.6907 2.1308 3.5727
0.0000 -4.2616 3.5727
Sc Be Ir
1 17 1
Direct
0.0000 0.0000 0.0000
0.0112 0.0112 0.4897
0.0112 0.4897 0.0112
0.1487 0.6671 0.6671
0.3140 0.3140 0.7930
0.3140 0.7930 0.3140
0.3646 0.6513 0.9580
0.3646 0.9580 0.6513
0.4897 0.0112 0.0112
0.5568 0.5568 0.5568
0.6513 0.3646 0.9580
0.6513 0.9580 0.3646
0.6671 0.1487 0.6671
0.6671 0.6671 0.1487
0.7539 0.7539 0.7539
0.7930 0.3140 0.3140
0.9580 0.3646 0.6513
0.9580 0.6513 0.3646
0.3277 0.3277 0.3277


No. 10
Sc2BeIr (PBE, relaxed); mass density = 6.88 g/cm3; energy of formation = -45 kJ/mol of formula units; Fermi-level density of states = 2.66 states/eV/f.u.; space group = No. 166; total moment = 0.000 μB/f.u.
1.0
1.5846 0.9148 8.0749
-1.5846 0.9148 8.0749
0.0000 -1.8297 8.0749
Sc Be Ir
2 1 1
Direct
0.2495 0.2495 0.2495
0.7505 0.7505 0.7505
0.5000 0.5000 0.5000
0.0000 0.0000 0.0000


No. 11
Sc2BeIr (PBE, relaxed); mass density = 7.13 g/cm3; energy of formation = -171 kJ/mol of formula units; Fermi-level density of states = 4.38 states/eV/f.u.; space group = No. 44; total moment = 0.000 μB/f.u.
1.0
-1.5509 2.2939 4.7675
1.5509 -2.2939 4.7675
1.5509 2.2939 -4.7675
Sc Be Ir
2 1 1
Direct
0.0000 0.0000 0.0000
0.7097 0.2097 0.5000
0.2845 0.7845 0.5000
0.4650 0.4650 0.0000


No. 12
ScBeIr2 (PBE, relaxed); mass density = 12.45 g/cm3; energy of formation = -162 kJ/mol of formula units; Fermi-level density of states = 3.30 states/eV/f.u.; space group = No. 25; total moment = 0.000 μB/f.u.
1.0
2.8061 0.0000 0.0000
0.0000 3.8508 0.0000
0.0000 0.0000 5.4130
Sc Be Ir
1 1 2
Direct
0.0000 0.0000 0.0000
0.5000 0.5000 0.3138
0.0000 0.0000 0.4726
0.5000 0.5000 0.7526


No. 13
ScBeIr2 (PBE, relaxed); mass density = 12.62 g/cm3; energy of formation = -166 kJ/mol of formula units; Fermi-level density of states = 4.32 states/eV/f.u.; space group = No. 119; total moment = 0.000 μB/f.u.
1.0
-1.8452 1.8452 4.2344
1.8452 -1.8452 4.2344
1.8452 1.8452 -4.2344
Sc Be Ir
1 1 2
Direct
0.0000 0.0000 0.0000
0.2500 0.7500 0.5000
0.5000 0.5000 0.0000
0.7500 0.2500 0.5000


No. 14
ScBeIr2 (PBE, relaxed); mass density = 12.99 g/cm3; energy of formation = -272 kJ/mol of formula units; Fermi-level density of states = 1.43 states/eV/f.u.; space group = No. 123; total moment = 0.000 μB/f.u.
1.0
3.0358 0.0000 0.0000
0.0000 3.0358 0.0000
0.0000 0.0000 6.0795
Sc Be Ir
1 1 2
Direct
0.0000 0.0000 0.0000
0.0000 0.0000 0.5000
0.5000 0.5000 0.2806
0.5000 0.5000 0.7194


No. 15
Sc2BeIr2 (PBE, relaxed); mass density = 9.73 g/cm3; energy of formation = -318 kJ/mol of formula units; Fermi-level density of states = 2.71 states/eV/f.u.; space group = No. 127; total moment = 0.000 μB/f.u.
1.0
6.2315 0.0000 0.0000
0.0000 6.2315 0.0000
0.0000 0.0000 4.2506
Sc Be Ir
4 2 4
Direct
0.1703 0.3297 0.0000
0.3297 0.8297 0.0000
0.6703 0.1703 0.0000
0.8297 0.6703 0.0000
0.0000 0.0000 0.5000
0.5000 0.5000 0.5000
0.1487 0.6487 0.5000
0.3513 0.1487 0.5000
0.6487 0.8513 0.5000
0.8513 0.3513 0.5000


No. 16
Sc2BeIr (PBE, relaxed); mass density = 7.30 g/cm3; energy of formation = -214 kJ/mol of formula units; Fermi-level density of states = 2.46 states/eV/f.u.; space group = No. 123; total moment = 0.000 μB/f.u.
1.0
4.5726 0.0000 0.0000
0.0000 4.5726 0.0000
0.0000 0.0000 3.1654
Sc Be Ir
2 1 1
Direct
0.0000 0.5000 0.0000
0.5000 0.0000 0.0000
0.0000 0.0000 0.5000
0.5000 0.5000 0.5000


No. 17
ScBe2Ir (PBE, relaxed); mass density = 7.87 g/cm3; energy of formation = -134 kJ/mol of formula units; Fermi-level density of states = 1.74 states/eV/f.u.; space group = No. 99; total moment = 0.000 μB/f.u.
1.0
2.9473 0.0000 0.0000
0.0000 2.9473 0.0000
0.0000 0.0000 6.2002
Sc Be Ir
1 2 1
Direct
0.0000 0.0000 0.0000
0.0000 0.0000 0.5126
0.5000 0.5000 0.3232
0.5000 0.5000 0.6990


No. 18
ScBe2Ir (PBE, relaxed); mass density = 7.50 g/cm3; energy of formation = 14 kJ/mol of formula units; Fermi-level density of states = 1.85 states/eV/f.u.; space group = No. 166; total moment = 0.000 μB/f.u.
1.0
1.4664 0.8466 7.5835
-1.4664 0.8466 7.5835
0.0000 -1.6932 7.5835
Sc Be Ir
1 2 1
Direct
0.0000 0.0000 0.0000
0.2372 0.2372 0.2372
0.7628 0.7628 0.7628
0.5000 0.5000 0.5000


No. 19
ScBe2Ir (PBE, relaxed); mass density = 7.18 g/cm3; energy of formation = -168 kJ/mol of formula units; Fermi-level density of states = 2.58 states/eV/f.u.; space group = No. 8; total moment = 0.000 μB/f.u.
1.0
3.3693 -1.9438 0.0000
3.3693 1.9438 0.0000
-2.2273 0.0000 4.5065
Sc Be Ir
1 2 1
Direct
0.0000 0.0000 0.0000
0.1907 0.1907 0.5718
0.4899 0.4899 0.4691
0.8005 0.8005 0.4008


No. 20
ScBe9Ir2 (PBE, relaxed); mass density = 7.20 g/cm3; energy of formation = -480 kJ/mol of formula units; Fermi-level density of states = 5.11 states/eV/f.u.; space group = No. 194; total moment = 0.000 μB/f.u.
1.0
4.3847 0.0000 0.0000
-2.1923 3.7973 0.0000
0.0000 0.0000 14.1453
Sc Be Ir
2 18 4
Direct
0.3333 0.6667 0.2500
0.6667 0.3333 0.7500
0.0000 0.0000 0.0000
0.0000 0.0000 0.2500
0.0000 0.0000 0.5000
0.0000 0.0000 0.7500
0.1696 0.3392 0.6200
0.1696 0.3392 0.8800
0.1696 0.8304 0.6200
0.1696 0.8304 0.8800
0.3333 0.6667 0.7500
0.3392 0.1696 0.1200
0.3392 0.1696 0.3800
0.6608 0.8304 0.6200
0.6608 0.8304 0.8800
0.6667 0.3333 0.2500
0.8304 0.1696 0.1200
0.8304 0.1696 0.3800
0.8304 0.6608 0.1200
0.8304 0.6608 0.3800
0.3333 0.6667 0.0424
0.3333 0.6667 0.4576
0.6667 0.3333 0.5424
0.6667 0.3333 0.9576